Here is a geometry-optimized NdY12Ho7 structure from Alexandria via LeMat-Bulk. Energies are from PBE.

Summary:
Its formation energy is 0.289 eV/atom. The value obtained for the raw total energy is -5.430 eV per atom. The density of states at the Fermi level comes out at 18.882 states/eV/f.u. The total moment is 0.00 μB per atom.

a b c (Å): 8.707 8.707 8.707
angles (deg): 95.29 95.29 95.29
Fractional positions:
Nd 0.000 0.000 0.000
Y 0.812 0.250 0.683
Y 0.750 0.317 0.188
Y 0.476 0.147 0.414
Y 0.853 0.586 0.524
Y 0.317 0.188 0.750
Y 0.586 0.524 0.853
Y 0.414 0.476 0.147
Y 0.683 0.812 0.250
Y 0.147 0.414 0.476
Y 0.524 0.853 0.586
Y 0.250 0.683 0.812
Y 0.188 0.750 0.317
Ho 0.919 0.648 0.983
Ho 0.352 0.017 0.081
Ho 0.017 0.081 0.352
Ho 0.500 0.500 0.500
Ho 0.983 0.919 0.648
Ho 0.648 0.983 0.919
Ho 0.081 0.352 0.017